# 1
Tm6AlTe2: relaxed, PBE.

```
9
Lattice="8.023 -1.853 0.000 8.023 1.853 0.000 -0.649 0.000 8.893" Properties=species:S:1:pos:R:3 pbc="T T T"
Tm 0.090 0.000 2.826
Tm 2.514 0.000 5.359
Tm 5.767 0.000 0.467
Tm 9.629 0.000 8.426
Tm 12.882 0.000 3.533
Tm 15.306 0.000 6.066
Al 0.000 0.000 0.000
Te 3.033 0.000 1.922
Te 12.363 0.000 6.970
```

Formation energy from raw total energies (eV/atom): -0.3353
Density (Mg/m³): 8.14
Space group: C2/m, No. 12

# 2
SmEr2O: relaxed, PBE.

```
4
Lattice="1.722 0.994 9.337 -1.722 0.994 9.337 0.000 -1.988 9.337" Properties=species:S:1:pos:R:3 pbc="T T T"
Sm 0.000 0.000 0.000
Er 0.000 0.000 3.363
Er 0.000 0.000 24.648
O 0.000 0.000 14.005
```

Energy relative to the lowest polymorph listed for this composition (meV per atom): 0
Formation energy from raw total energies (eV/atom): -1.2066
Density (Mg/m³): 8.68
Space group: R-3m, No. 166

# 3
LiTe2Br: relaxed, PBE.

```
4
Lattice="3.101 0.000 0.000 0.000 3.101 0.000 0.000 0.000 11.983" Properties=species:S:1:pos:R:3 pbc="T T T"
Li 0.000 0.000 0.000
Te 1.551 1.551 2.187
Te 1.551 1.551 9.796
Br 0.000 0.000 5.992
```

Energy relative to the lowest polymorph listed for this composition (meV per atom): 375
Formation energy from raw total energies (eV/atom): -0.2443
Density (Mg/m³): 4.93
Space group: P4/mmm, No. 123

# 4
Mg3RhAu: relaxed, PBE.

```
5
Lattice="4.850 0.000 0.000 0.000 4.850 0.000 0.000 0.000 4.850" Properties=species:S:1:pos:R:3 pbc="T T T"
Mg 0.000 0.000 2.425
Mg 0.000 2.425 0.000
Mg 2.425 0.000 0.000
Rh 0.000 0.000 0.000
Au 2.425 2.425 2.425
```

Energy relative to the lowest polymorph listed for this composition (meV per atom): 473
Density (Mg/m³): 5.43
Space group: Pm-3m, No. 221
Formation energy (eV/atom): 0.001

# 5
MgGeH2Os: relaxed, PBE.

```
5
Lattice="3.486 0.000 0.000 0.000 3.486 0.000 0.000 0.000 7.253" Properties=species:S:1:pos:R:3 pbc="T T T"
Mg 0.000 0.000 0.000
Ge 0.000 0.000 3.627
H 0.000 1.743 0.000
H 1.743 0.000 0.000
Os 1.743 1.743 3.627
```

Density (Mg/m³): 5.45
Calculated total energy (eV per atom): -4.088
Space group: P4/mmm, No. 123

Number 1: total moment 0.00 μB/f.u.. Number 2: total moment 0.00 μB/f.u.. Number 3: total moment 0.00 μB/f.u.. Number 4: total moment 0.00 μB/f.u.. Number 5: total moment 1.00 μB/f.u..